[1]
This record from the Alexandria database describes crystalline HfTiH2 at its relaxed geometry. The functional is PBE.

M_tot (μB/cell): 0.00
Relative energy among the computed polymorphs (meV/atom): 581.3
ρ (g cm⁻³): 8.833

Unit cell a=5.558 b=5.558 c=5.558 alpha=90.00 beta=90.00 gamma=90.00
Space group Fm-3m (No. 225)
Asymmetric unit:
Hf1 0.000 0.000 0.000 x4
Ti1 0.000 0.000 0.500 x4
H1 0.250 0.250 0.250 x8

***

[2]
This record from the Alexandria database describes crystalline CsLiZn2Pd at its relaxed geometry. The functional is PBE.

DFT formation energy (eV per atom): -0.10
M_tot (μB/cell): 0.00
ρ (g cm⁻³): 4.718

Unit cell a=5.089 b=5.089 c=5.124 alpha=90.00 beta=90.00 gamma=90.00
Space group P4/mmm (No. 123)
Asymmetric unit:
Cs1 0.000 0.000 0.000 x1
Li1 0.500 0.500 0.000 x1
Zn1 0.000 0.500 0.500 x2
Pd1 0.500 0.500 0.500 x1

***

[3]
This record from the Alexandria database describes crystalline La2Pr6NdMg at its relaxed geometry. The functional is PBE.

DFT formation energy (eV per atom): 0.09
M_tot (μB/cell): 0.00
ρ (g cm⁻³): 6.067

Unit cell a=10.662 b=13.932 c=9.675 alpha=90.00 beta=100.26 gamma=90.00
Space group C2/c (No. 15)
Asymmetric unit:
La1 0.235 0.031 0.092 x8
Pr1 0.050 0.380 0.595 x8
Pr2 0.094 0.173 0.424 x8
Pr3 0.249 0.216 0.827 x8
Nd1 0.000 0.069 0.750 x4
Mg1 0.000 0.400 0.250 x4

***

[4]
This record from the Alexandria database describes crystalline Ga3AgBr at its relaxed geometry. The functional is PBE.

Formation energy without anion corrections (eV/atom): 0.5271
M_tot (μB/cell): 0.00
Relative energy among the computed polymorphs (meV/atom): 516.0
ρ (g cm⁻³): 3.784

Unit cell a=5.585 b=5.585 c=5.585 alpha=90.00 beta=90.00 gamma=90.00
Space group Pm-3m (No. 221)
Asymmetric unit:
Ga1 0.000 0.000 0.500 x3
Ag1 0.500 0.500 0.500 x1
Br1 0.000 0.000 0.000 x1

***

[5]
This record from the Alexandria database describes crystalline Dy7Ga2C2 at its relaxed geometry. The functional is PBE.

DFT formation energy (eV per atom): 0.02
M_tot (μB/cell): 0.00
ρ (g cm⁻³): 6.759

Unit cell a=7.963 b=11.166 c=7.228 alpha=90.00 beta=95.93 gamma=90.00
Space group C2/m (No. 12)
Asymmetric unit:
Dy1 0.000 0.000 0.000 x2
Dy2 0.085 0.500 0.791 x4
Dy3 0.248 0.312 0.233 x8
Ga1 0.000 0.309 0.500 x4
C1 0.216 0.500 0.096 x4

***

[6]
This record from the Alexandria database describes crystalline Cu2ReP at its relaxed geometry. The functional is PBE.

DFT formation energy (eV per atom): 0.35
M_tot (μB/cell): 0.00
ρ (g cm⁻³): 10.576

Unit cell a=2.601 b=2.601 c=7.992 alpha=90.00 beta=90.00 gamma=90.00
Space group P4/mmm (No. 123)
Asymmetric unit:
Cu1 0.000 0.000 0.248 x2
Re1 0.500 0.500 0.500 x1
P1 0.500 0.500 0.000 x1

***

[7]
This record from the Alexandria database describes crystalline PaBe4Tc at its relaxed geometry. The functional is PBE.

DFT formation energy (eV per atom): -0.03
M_tot (μB/cell): 0.00
ρ (g cm⁻³): 7.989

Unit cell a=6.721 b=6.721 c=6.721 alpha=90.00 beta=90.00 gamma=90.00
Space group F-43m (No. 216)
Asymmetric unit:
Pa1 0.000 0.000 0.000 x4
Be1 0.122 0.122 0.378 x16
Tc1 0.250 0.250 0.750 x4

***

[8]
This record from the Alexandria database describes crystalline Tm3Tl4Te8Pb at its relaxed geometry. The functional is PBE.

Formation energy without anion corrections (eV/atom): -0.8333
M_tot (μB/cell): 0.00
ρ (g cm⁻³): 7.637

Unit cell a=8.9895 b=8.9895 c=23.7897 alpha=90.00 beta=90.00 gamma=120.00
Space group R-3m (No. 166, hexagonal axes)
Asymmetric unit:
Tm1 0.0000 0.5000 0.0000 x9
Tl1 0.0000 0.0000 0.5000 x3
Tl2 0.0000 0.5000 0.5000 x9
Te1 0.0000 0.0000 0.2624 x6
Te2 0.0160 0.5080 0.2607 x18
Pb1 0.0000 0.0000 0.0000 x3

***

[9]
This record from the Alexandria database describes crystalline GaB3O6 at its relaxed geometry. The functional is PBE.

Formation energy without anion corrections (eV/atom): -1.9348
M_tot (μB/cell): 0.00
ρ (g cm⁻³): 1.684

Unit cell a=5.789 b=5.792 c=6.238 alpha=102.47 beta=103.88 gamma=96.35
Space group P-1 (No. 2)
Asymmetric unit:
Ga1 0.000 0.000 0.000 x1
B1 0.000 0.000 0.500 x1
B2 0.000 0.500 0.000 x1
B3 0.500 0.000 0.000 x1
O1 0.024 0.348 0.119 x2
O2 0.056 0.064 0.715 x2
O3 0.352 0.026 0.119 x2

***

[10]
This record from the Alexandria database describes crystalline CoRe2As at its relaxed geometry. The functional is PBE.

DFT formation energy (eV per atom): 0.18
M_tot (μB/cell): 1.79
ρ (g cm⁻³): 14.916

Unit cell a=2.8074 b=2.8074 c=24.7726 alpha=90.00 beta=90.00 gamma=120.00
Space group R3m (No. 160, hexagonal axes)
Asymmetric unit:
Co1 0.0000 0.0000 0.0000 x3
Re1 0.0000 0.0000 0.5047 x3
Re2 0.0000 0.0000 0.7511 x3
As1 0.0000 0.0000 0.2593 x3

***

[11]
This record from the Alexandria database describes crystalline La3Ce5Ir2 at its relaxed geometry. The functional is PBE.

DFT formation energy (eV per atom): -0.25
M_tot (μB/cell): 0.05
ρ (g cm⁻³): 8.938

Unit cell a=11.541 b=13.877 c=6.968 alpha=90.00 beta=90.00 gamma=90.00
Space group Ibam (No. 72)
Asymmetric unit:
La1 0.000 0.000 0.250 x4
La2 0.221 0.171 0.000 x8
Ce1 0.000 0.286 0.250 x8
Ce2 0.000 0.500 0.250 x4
Ce3 0.180 0.431 0.000 x8
Ir1 0.110 0.159 0.500 x8

***

[12]
This record from the Alexandria database describes crystalline Cu2PdPt8 at its relaxed geometry. The functional is PBE.

DFT formation energy (eV per atom): 0.24
M_tot (μB/cell): 0.00
Relative energy among the computed polymorphs (meV/atom): 318.9
ρ (g cm⁻³): 16.181

Unit cell a=11.935 b=7.006 c=4.588 alpha=90.00 beta=106.28 gamma=90.00
Space group C2/m (No. 12)
Asymmetric unit:
Cu1 0.130 0.000 0.018 x4
Pd1 0.000 0.000 0.500 x2
Pt1 0.075 0.303 0.287 x8
Pt2 0.139 0.500 0.833 x4
Pt3 0.226 0.000 0.570 x4

***

ρ of number 9 (GaB3O6)? 1.684 g cm⁻³